(1)
# TbTh2UP4

A geometry-optimized TbTh2UP4 structure (PBE-GGA, Alexandria).

Formation enthalpy at 0 K   -1410 meV per atom

Cell: 7.0251 4.0557 7.0504 Å, 90.00 109.32 90.00°
Closest atoms and distances in Å follow each position.
Space group P2/m (No. 10)
Inequivalent atoms, fractional coordinates:
Tb (0.0000, 0.0000, 0.0000) [1 per cell]  6 P 2.84-2.85
Th (0.5000, 0.0000, 0.5000) [1 per cell]  6 P 2.90-2.91
Th (0.5000, 0.5000, 0.0000) [1 per cell]  6 P 2.93-2.94
U (0.0000, 0.5000, 0.5000) [1 per cell]  6 P 2.81
P (0.2367, 0.0000, 0.7426) [2 per cell]  2 U 2.81, 1 Tb 2.84, 3 Th 2.91-2.93
P (0.2396, 0.5000, 0.2509) [2 per cell]  1 U 2.81, 2 Tb 2.85, 3 Th 2.90-2.94

---

(2)
# Tb3Th2UP6

A geometry-optimized Tb3Th2UP6 structure (PBE-GGA, Alexandria).

Formation enthalpy at 0 K   -1478 meV per atom

Cell: 17.6708 4.0532 8.1130 Å, 90.00 103.24 90.00°
Closest atoms and distances in Å follow each position.
Space group C2/m (No. 12)
Inequivalent atoms, fractional coordinates:
Tb (0.0000, 0.0000, 0.0000) [2 per cell]  6 P 2.85-2.90
Tb (0.1679, 0.5000, 0.3332) [4 per cell]  6 P 2.84-2.89
Th (0.1653, 0.5000, 0.8319) [4 per cell]  6 P 2.88-2.91
U (0.0000, 0.0000, 0.5000) [2 per cell]  6 P 2.82-2.83
P (0.0024, 0.5000, 0.2572) [4 per cell]  2 U 2.83, 3 Tb 2.85-2.90, 1 Th 2.88
P (0.1642, 0.0000, 0.5769) [4 per cell]  1 U 2.82, 3 Tb 2.84-2.89, 2 Th 2.89
P (0.1656, 0.0000, 0.0867) [4 per cell]  3 Tb 2.84-2.85, 3 Th 2.89-2.91

---

(3)
# Tb2YThP4

A geometry-optimized Tb2YThP4 structure (PBE-GGA, Alexandria).

Formation enthalpy at 0 K   -1619 meV per atom

Cell: 7.0173 4.0625 7.0218 Å, 90.00 109.47 90.00°
Closest atoms and distances in Å follow each position.
Space group P2/m (No. 10)
Inequivalent atoms, fractional coordinates:
Tb (0.0000, 0.0000, 0.0000) [1 per cell]  6 P 2.85
Tb (0.5000, 0.5000, 0.0000) [1 per cell]  6 P 2.87
Y (0.0000, 0.5000, 0.5000) [1 per cell]  6 P 2.86-2.87
Th (0.5000, 0.0000, 0.5000) [1 per cell]  6 P 2.88-2.89
P (0.2461, 0.5000, 0.2464) [2 per cell]  3 Tb 2.85-2.87, 1 Y 2.86, 2 Th 2.89
P (0.2482, 0.0000, 0.7509) [2 per cell]  3 Tb 2.85-2.87, 2 Y 2.87, 1 Th 2.88

---

(4)
# Tb2YTh3P6

A geometry-optimized Tb2YTh3P6 structure (PBE-GGA, Alexandria).

Formation enthalpy at 0 K   -1591 meV per atom

Cell: 7.1004 12.2781 7.0400 Å, 90.00 109.63 90.00°
Closest atoms and distances in Å follow each position.
Space group C2/m (No. 12)
Inequivalent atoms, fractional coordinates:
Tb (0.0000, 0.1666, 0.0000) [4 per cell]  6 P 2.87
Y (0.0000, 0.5000, 0.0000) [2 per cell]  6 P 2.86-2.87
Th (0.0000, 0.0000, 0.5000) [2 per cell]  6 P 2.91
Th (0.0000, 0.3332, 0.5000) [4 per cell]  6 P 2.91
P (0.2485, 0.0000, 0.2443) [4 per cell]  1 Y 2.87, 2 Tb 2.87, 3 Th 2.91
P (0.2478, 0.3335, 0.2441) [8 per cell]  1 Y 2.86, 2 Tb 2.87, 3 Th 2.91

---

(5)
# TbY3Th2P6

A geometry-optimized TbY3Th2P6 structure (PBE-GGA, Alexandria).

Formation enthalpy at 0 K   -1616 meV per atom

Cell: 7.0427 12.2119 7.0158 Å, 90.00 109.54 90.00°
Closest atoms and distances in Å follow each position.
Space group C2/m (No. 12)
Inequivalent atoms, fractional coordinates:
Tb (0.0000, 0.0000, 0.0000) [2 per cell]  6 P 2.87-2.88
Y (0.0000, 0.1668, 0.5000) [4 per cell]  6 P 2.85-2.87
Y (0.0000, 0.5000, 0.5000) [2 per cell]  6 P 2.85-2.87
Th (0.0000, 0.3335, 0.0000) [4 per cell]  6 P 2.89-2.90
P (0.2461, 0.0000, 0.7453) [4 per cell]  3 Y 2.85-2.87, 1 Tb 2.88, 2 Th 2.90
P (0.2500, 0.1655, 0.2538) [8 per cell]  3 Y 2.85-2.87, 1 Tb 2.87, 2 Th 2.89

---

(6)
# Tb3YTh2P6

A geometry-optimized Tb3YTh2P6 structure (PBE-GGA, Alexandria).

Formation enthalpy at 0 K   -1606 meV per atom

Cell: 17.7211 4.0759 8.1207 Å, 90.00 103.18 90.00°
Closest atoms and distances in Å follow each position.
Space group C2/m (No. 12)
Inequivalent atoms, fractional coordinates:
Tb (0.0000, 0.0000, 0.0000) [2 per cell]  6 P 2.86-2.88
Tb (0.1660, 0.5000, 0.3342) [4 per cell]  6 P 2.84-2.90
Y (0.0000, 0.0000, 0.5000) [2 per cell]  6 P 2.87
Th (0.1648, 0.5000, 0.8300) [4 per cell]  6 P 2.87-2.92
P (0.0014, 0.5000, 0.2511) [4 per cell]  3 Tb 2.84-2.88, 1 Th 2.87, 2 Y 2.87
P (0.1657, 0.0000, 0.0861) [4 per cell]  3 Tb 2.86-2.87, 3 Th 2.91-2.92
P (0.1663, 0.0000, 0.5790) [4 per cell]  3 Tb 2.85-2.90, 1 Y 2.87, 2 Th 2.89

---

| no. | total magnetic moment (μB per cell) |
| --- | --- |
| 1 | 2.19 |
| 2 | 4.84 |
| 3 | 0.00 |
| 4 | 0.00 |
| 5 | 0.00 |
| 6 | 0.00 |